# Tb6ScTl

Crystalline Tb6ScTl at its relaxed geometry (PBE-GGA, Alexandria via LeMat-Bulk).

abc: 4.8748 4.8748 9.9498
angles: 90.00 90.00 90.00
Closest atoms and distances in Å follow each position.
Fractional coordinates of all 8 atoms:
Tb  0.0000  0.0000  0.0000  4 Sc 3.45, 8 Tb 3.48
Tb  0.0000  0.0000  0.5000  4 Tl 3.45, 8 Tb 3.48
Tb  0.0000  0.5000  0.2499  8 Tb 3.45-3.48, 2 Sc 3.48, 2 Tl 3.48
Tb  0.0000  0.5000  0.7501  8 Tb 3.45-3.48, 2 Sc 3.48, 2 Tl 3.48
Tb  0.5000  0.0000  0.2499  8 Tb 3.45-3.48, 2 Sc 3.48, 2 Tl 3.48
Tb  0.5000  0.0000  0.7501  8 Tb 3.45-3.48, 2 Sc 3.48, 2 Tl 3.48
Sc  0.5000  0.5000  0.0000  12 Tb 3.45-3.48
Tl  0.5000  0.5000  0.5000  12 Tb 3.45-3.48

Volume in Å³ per cell: 236.44
Formation enthalpy at 0 K in eV/f.u.: -0.60
Space group: P4/mmm (123)
DOS(E_F) in states/eV/atom: 1.251

---

# HoZrSc2

Crystalline HoZrSc2 at its relaxed geometry (PBE-GGA, Alexandria via LeMat-Bulk).

abc: 5.2309 5.2309 5.2309
angles: 60.00 60.00 60.00
Closest atoms and distances in Å follow each position.
Fractional coordinates of all 4 atoms:
Ho  0.0000  0.0000  0.0000  8 Sc 3.20
Zr  0.5000  0.5000  0.5000  8 Sc 3.20
Sc  0.2500  0.2500  0.2500  4 Zr 3.20, 4 Ho 3.20
Sc  0.7500  0.7500  0.7500  4 Zr 3.20, 4 Ho 3.20

Polymorph energy (0 for the lowest one) in meV per atom: 104
Volume in Å³ per cell: 101.21
Formation enthalpy at 0 K in eV/f.u.: 0.56
Space group: Fm-3m (225)
DOS(E_F) in states/eV/atom: 2.084

---

# TbTl2Pd

Crystalline TbTl2Pd at its relaxed geometry (PBE-GGA, Alexandria via LeMat-Bulk).

abc: 5.0556 5.0556 5.0556
angles: 60.00 60.00 60.00
Closest atoms and distances in Å follow each position.
Fractional coordinates of all 4 atoms:
Tb  0.0000  0.0000  0.0000  8 Tl 3.10
Tl  0.2500  0.2500  0.2500  4 Pd 3.10, 4 Tb 3.10
Tl  0.7500  0.7500  0.7500  4 Tb 3.10, 4 Pd 3.10
Pd  0.5000  0.5000  0.5000  8 Tl 3.10

Volume in Å³ per cell: 91.37
Formation enthalpy at 0 K in eV/f.u.: -1.20
Space group: Fm-3m (225)
DOS(E_F) in states/eV/atom: 0.847

---

# MnCd2Se

Crystalline MnCd2Se at its relaxed geometry (PBE-GGA, Alexandria via LeMat-Bulk).

abc: 6.3971 6.3971 6.3971
angles: 100.53 100.53 129.38
Closest atoms and distances in Å follow each position.
Fractional coordinates of all 8 atoms:
Mn  0.0000  0.0000  0.0000  2 Se 2.73
Mn  0.7500  0.2500  0.5000  2 Se 2.73
Cd  0.1453  0.6250  0.0203  2 Cd 2.75, 2 Se 2.86
Cd  0.3750  0.3953  0.5203  2 Cd 2.75, 2 Se 2.86
Cd  0.6047  0.1250  0.9797  2 Cd 2.75, 2 Se 2.86
Cd  0.8750  0.8547  0.4797  2 Cd 2.75, 2 Se 2.86
Se  0.2500  0.7500  0.5000  2 Mn 2.73, 4 Cd 2.86
Se  0.5000  0.5000  0.0000  2 Mn 2.73, 4 Cd 2.86

Volume in Å³ per cell: 182.92
Space group: I-42d (122)
Formation energy without anion corrections in eV/atom: 0.14
DOS(E_F) in states/eV/atom: 0.341

---

# CdCoRe

Crystalline CdCoRe at its relaxed geometry (PBE-GGA, Alexandria via LeMat-Bulk).

abc: 4.1087 4.1087 4.1087
angles: 60.00 60.00 60.00
Closest atoms and distances in Å follow each position.
Fractional coordinates of all 3 atoms:
Cd  0.0000  0.0000  0.0000  4 Co 2.52
Co  0.2500  0.2500  0.2500  4 Cd 2.52, 4 Re 2.52
Re  0.5000  0.5000  0.5000  4 Co 2.52

Polymorph energy (0 for the lowest one) in meV per atom: 416
Volume in Å³ per cell: 49.04
Formation enthalpy at 0 K in eV/f.u.: 2.09
Space group: F-43m (216)
DOS(E_F) in states/eV/atom: 0.203

---

# Pr2HfAg

Crystalline Pr2HfAg at its relaxed geometry (PBE-GGA, Alexandria via LeMat-Bulk).

abc: 3.5154 3.5154 8.9849
angles: 90.00 90.00 90.00
Closest atoms and distances in Å follow each position.
Fractional coordinates of all 4 atoms:
Pr  0.0000  0.0000  0.2406  4 Ag 3.29, 4 Hf 3.41, 4 Pr 3.52
Pr  0.0000  0.0000  0.7594  4 Ag 3.29, 4 Hf 3.41, 4 Pr 3.52
Hf  0.5000  0.5000  0.5000  8 Pr 3.41, 4 Hf 3.52
Ag  0.5000  0.5000  0.0000  8 Pr 3.29, 4 Ag 3.52

Polymorph energy (0 for the lowest one) in meV per atom: 0
Volume in Å³ per cell: 111.04
Formation enthalpy at 0 K in eV/f.u.: 0.05
Space group: P4/mmm (123)
DOS(E_F) in states/eV/atom: 0.992